(1)
VASP calculation (GGA-PBE) on an optimized crystal structure of LiYTcSn2.

Cell: 4.745 4.989 4.745 Å, 90.00 90.00 90.00°
Atoms (fractional coordinates):
Sn: 0.500 0.000 0.000
Tc: 0.500 0.500 0.500
Li: 0.000 0.000 0.000
Sn: 0.000 0.000 0.500
Y: 0.000 0.500 0.000

Output
For the total DFT energy (no corrections), the calculation gives -4.742 eV per atom. The symmetry is P4/mmm, No. 123.

(2)
VASP calculation (GGA-PBE) on an optimized crystal structure of Li2Sn5Te5.

Cell: 6.256 8.295 8.295 Å, 81.82 67.85 67.85°
Atoms (fractional coordinates):
Te: 0.444 0.000 0.000
Sn: 0.123 0.430 0.000
Sn: 0.934 0.000 0.000
Te: 0.704 0.290 0.290
Li: 0.244 0.500 0.500
Sn: 0.553 0.570 0.000
Te: 0.994 0.710 0.290
Sn: 0.553 0.000 0.570
Li: 0.744 0.500 0.500
Te: 0.994 0.290 0.710
Sn: 0.123 0.000 0.430
Te: 0.284 0.710 0.710

Output
The symmetry is I4mm, No. 107. As for the formation energy (no corrections): -3.71 eV per formula unit.

(3)
VASP calculation (GGA-PBE) on an optimized crystal structure of LiSn3Te.

Cell: 5.127 5.127 5.127 Å, 90.00 90.00 90.00°
Atoms (fractional coordinates):
Sn: 0.500 0.000 0.000
Te: 0.500 0.500 0.500
Sn: 0.000 0.500 0.000
Li: 0.000 0.000 0.000
Sn: 0.000 0.000 0.500

Output
Its relative energy among the computed polymorphs is 0.000 eV per atom. The symmetry is Pm-3m, No. 221. As for the formation energy (no corrections): 0.60 eV per formula unit.

(4)
VASP calculation (GGA-PBE) on an optimized crystal structure of Li2Sn2Te3.

Cell: 7.901 8.813 7.073 Å, 90.00 61.34 90.00°
Atoms (fractional coordinates):
Sn: 0.381 0.832 0.893
Te: 0.826 0.587 0.328
Sn: 0.119 0.332 0.107
Li: 0.559 0.376 0.615
Sn: 0.619 0.168 0.107
Li: 0.441 0.624 0.385
Li: 0.941 0.876 0.385
Sn: 0.881 0.668 0.893
Te: 0.000 0.000 0.000
Te: 0.674 0.087 0.672
Te: 0.326 0.913 0.328
Te: 0.174 0.413 0.672
Li: 0.059 0.124 0.615
Te: 0.500 0.500 0.000

Output
Its relative energy among the computed polymorphs is 0.048 eV per atom. The symmetry is P2_1/c, No. 14. As for the formation energy (no corrections): -3.47 eV per formula unit.

(5)
VASP calculation (GGA-PBE) on an optimized crystal structure of LiSn5Te6.

Cell: 7.695 7.722 7.721 Å, 60.00 80.33 70.38°
Atoms (fractional coordinates):
Te: 0.753 0.757 0.000
Sn: 0.500 0.500 0.000
Te: 0.247 0.243 0.000
Te: 0.243 0.594 0.326
Sn: 0.500 0.829 0.342
Li: 0.000 0.000 0.000
Sn: 0.500 0.171 0.658
Sn: 0.000 0.336 0.329
Te: 0.757 0.406 0.674
Sn: 0.000 0.664 0.671
Te: 0.243 0.920 0.674
Te: 0.757 0.080 0.326

Output
The symmetry is C2/m, No. 12. As for the formation energy (no corrections): -4.30 eV per formula unit.

(6)
VASP calculation (GGA-PBE) on an optimized crystal structure of Li2SnTe.

Cell: 3.926 4.763 4.763 Å, 90.00 90.00 90.00°
Atoms (fractional coordinates):
Te: 0.500 0.500 0.500
Sn: 0.500 0.000 0.000
Li: 0.000 0.000 0.500
Li: 0.000 0.500 0.000

Output
Its relative energy among the computed polymorphs is 0.000 eV per atom. The symmetry is P4/mmm, No. 123. As for the formation energy (no corrections): -1.90 eV per formula unit.

(7)
VASP calculation (GGA-PBE) on an optimized crystal structure of Li3SnTe3.

Cell: 8.879 8.879 8.879 Å, 90.00 90.00 90.00°
Atoms (fractional coordinates):
Sn: 0.406 0.406 0.406
Te: 0.007 0.755 0.619
Li: 0.836 0.664 0.336
Li: 0.817 0.317 0.183
Te: 0.507 0.745 0.381
Te: 0.119 0.493 0.245
Te: 0.619 0.007 0.755
Sn: 0.906 0.094 0.594
Li: 0.914 0.914 0.914
Te: 0.381 0.507 0.745
Te: 0.755 0.619 0.007
Li: 0.086 0.414 0.586
Te: 0.245 0.119 0.493
Li: 0.414 0.586 0.086
Li: 0.336 0.836 0.664
Te: 0.993 0.255 0.881
Li: 0.317 0.183 0.817
Te: 0.881 0.993 0.255
Sn: 0.094 0.594 0.906
Li: 0.183 0.817 0.317
Te: 0.255 0.881 0.993
Li: 0.586 0.086 0.414
Te: 0.493 0.245 0.119
Li: 0.683 0.683 0.683
Li: 0.164 0.164 0.164
Te: 0.745 0.381 0.507
Li: 0.664 0.336 0.836
Sn: 0.594 0.906 0.094

Output
The symmetry is P2_13, No. 198. As for the formation energy (no corrections): -4.43 eV per formula unit.

(8)
VASP calculation (GGA-PBE) on an optimized crystal structure of LiSnTe.

Cell: 4.817 4.817 4.817 Å, 60.00 60.00 60.00°
Atoms (fractional coordinates):
Li: 0.250 0.250 0.250
Te: 0.000 0.000 0.000
Sn: 0.500 0.500 0.500

Output
Its relative energy among the computed polymorphs is 0.162 eV per atom. The symmetry is F-43m, No. 216. As for the formation energy (no corrections): -0.84 eV per formula unit.

Computed values of mass density (unit: g cm⁻³) for the preceding records, in sequence: 6.375; 5.601; 6.046; 4.873; 6.062; 4.851; 4.957; 5.322.